Entry 1:
## SmDyCo (GGA-PBE)

Data for a geometry-optimized SmDyCo structure.

Structure (POSCAR):
```
SmDyCo
1.0
-0.834 -3.286 0.261
0.563 -0.408 -3.328
6.252 0.390 2.746
Co Dy Sm
1 1 1
Direct
0.664 0.664 0.327
0.041 0.041 0.081
0.296 0.296 0.591
```

Values from the calculation:
Space-group type: No. 107
E above lowest polymorph in meV per atom: 37.4

=====

Entry 2:
## SmDy2Co (GGA-PBE)

Data for a geometry-optimized SmDy2Co structure.

Structure (POSCAR):
```
SmDy2Co
1.0
-2.767 -1.881 0.623
0.618 -1.836 -2.798
4.941 -5.672 4.814
Sm Co Dy
1 1 2
Direct
0.500 0.500 0.500
0.500 0.500 0.000
0.000 0.000 0.180
0.000 0.000 0.820
```

Values from the calculation:
Space-group type: No. 123
E above lowest polymorph in meV per atom: 81.1

=====

Entry 3:
## Sm3Dy3Co4 (GGA-PBE)

Data for a geometry-optimized Sm3Dy3Co4 structure.

Structure (POSCAR):
```
Sm3Dy3Co4
1.0
4.236 0.000 0.000
0.000 7.251 -0.017
0.000 0.047 7.251
Dy Sm Co
3 3 4
Direct
0.500 0.176 0.824
0.000 0.499 0.000
0.000 0.000 0.501
0.500 0.325 0.326
0.500 0.828 0.172
0.500 0.674 0.675
0.000 0.383 0.617
0.000 0.116 0.103
0.000 0.604 0.396
0.000 0.897 0.884
```

Values from the calculation:
Electronic total energy in eV per formula unit: -57.36
Space-group type: No. 38

=====

Entry 4:
## Sm12DyCo6 (GGA-PBE)

Data for a geometry-optimized Sm12DyCo6 structure.

Structure (POSCAR):
```
Sm12DyCo6
1.0
-5.692 -6.488 -0.069
4.546 -0.083 -7.336
5.348 -0.936 6.710
Co Dy Sm
6 1 12
Direct
0.500 0.888 0.388
0.500 0.112 0.612
0.888 0.388 0.500
0.112 0.612 0.500
0.612 0.500 0.112
0.388 0.500 0.888
0.000 0.000 0.000
0.310 0.504 0.195
0.885 0.195 0.690
0.690 0.885 0.195
0.310 0.115 0.805
0.690 0.496 0.805
0.496 0.805 0.690
0.805 0.310 0.115
0.115 0.805 0.310
0.805 0.690 0.496
0.195 0.310 0.504
0.504 0.195 0.310
0.195 0.690 0.885
```

Values from the calculation:
Electronic total energy in eV per formula unit: -105.29
Space-group type: No. 204

=====

Entry 5:
## SmDyCo (GGA-PBE)

Data for a geometry-optimized SmDyCo structure.

Structure (POSCAR):
```
SmDyCo
1.0
4.730 0.000 0.000
2.365 4.097 0.000
2.365 1.366 3.862
Sm Co Dy
1 1 1
Direct
0.500 0.500 0.500
0.250 0.250 0.250
0.000 0.000 0.000
```

Values from the calculation:
Space-group type: No. 216
E above lowest polymorph in meV per atom: 85.3

=====

Entry 6:
## Sm2DyCo2 (GGA-PBE)

Data for a geometry-optimized Sm2DyCo2 structure.

Structure (POSCAR):
```
Sm2DyCo2
1.0
-3.582 -2.467 4.115
3.162 -3.702 -3.822
5.058 1.279 5.170
Co Sm Dy
4 4 2
Direct
0.689 0.667 0.484
0.022 0.333 0.016
0.311 0.333 0.516
0.978 0.667 0.984
0.232 0.686 0.351
0.768 0.314 0.649
0.454 0.686 0.851
0.546 0.314 0.149
0.081 0.000 0.750
0.919 0.000 0.250
```

Values from the calculation:
Space-group type: No. 15
E above lowest polymorph in meV per atom: 0.0